Record 1
Below is a geometry-optimized Ac12Tl6Zn structure, with properties calculated at the PBE level.

Cell lengths 9.0832, 9.0832, 9.0832 Å; angles 92.30, 92.30, 92.30 degrees
With the nearest neighbours (Å) after each atom.
Sites, in units of the cell vectors:
Ac 0.0508 0.6938 0.9388  4 Tl 3.49-3.57, 1 Ac 3.82
Ac 0.0612 0.9492 0.3062  4 Tl 3.49-3.57, 1 Ac 3.82
Ac 0.1703 0.5250 0.3994  1 Zn 3.12, 1 Tl 3.44
Ac 0.3062 0.0612 0.9492  4 Tl 3.49-3.57, 1 Ac 3.82
Ac 0.3994 0.1703 0.5250  1 Zn 3.12, 1 Tl 3.44
Ac 0.4750 0.6006 0.8297  1 Zn 3.12, 1 Tl 3.44
Ac 0.5250 0.3994 0.1703  1 Zn 3.12, 1 Tl 3.44
Ac 0.6006 0.8297 0.4750  1 Zn 3.12, 1 Tl 3.44
Ac 0.6938 0.9388 0.0508  4 Tl 3.49-3.57, 1 Ac 3.82
Ac 0.8297 0.4750 0.6006  1 Zn 3.12, 1 Tl 3.44
Ac 0.9388 0.0508 0.6938  4 Tl 3.49-3.57, 1 Ac 3.82
Ac 0.9492 0.3062 0.0612  4 Tl 3.49-3.57, 1 Ac 3.82
Tl 0.1720 0.3639 0.7628  8 Ac 3.44-3.66
Tl 0.2372 0.8280 0.6361  8 Ac 3.44-3.66
Tl 0.3639 0.7628 0.1720  8 Ac 3.44-3.66
Tl 0.6361 0.2372 0.8280  8 Ac 3.44-3.66
Tl 0.7628 0.1720 0.3639  8 Ac 3.44-3.66
Tl 0.8280 0.6361 0.2372  8 Ac 3.44-3.66
Zn 0.5000 0.5000 0.5000  6 Ac 3.12

## Properties
- space group = R-3, No. 148
- crystal system = trigonal
- mass density (kg/m3) = 8920
- energy relative to the elements (eV/atom) = -0.15
- DOS at the Fermi energy (states/eV/cell) = 22.22

Record 2
Below is a geometry-optimized Ac3Tl2Zn structure, with properties calculated at the PBE level.

Cell lengths 9.1444, 9.1444, 4.0245 Å; angles 90.00, 90.00, 143.07 degrees
With the nearest neighbours (Å) after each atom.
Sites, in units of the cell vectors:
Ac 0.0000 0.0000 0.0000  4 Zn 3.53, 4 Tl 3.53
Ac 0.3402 0.6598 0.0000  2 Zn 3.43, 6 Tl 3.53-3.61
Ac 0.6598 0.3402 0.0000  2 Zn 3.43, 6 Tl 3.53-3.61
Tl 0.1672 0.8328 0.5000  8 Ac 3.53-3.61
Tl 0.8328 0.1672 0.5000  8 Ac 3.53-3.61
Zn 0.5000 0.5000 0.5000  8 Ac 3.43-3.53

## Properties
- space group = Cmmm, No. 65
- excess energy over the best structure of this formula in the dataset (kJ per mole of atoms) = 0.0
- crystal system = orthorhombic
- mass density (kg/m3) = 9487
- energy relative to the elements (eV/atom) = -0.30
- DOS at the Fermi energy (states/eV/cell) = 7.99

What did we get for total magnetic moment? Answer: 0.0000, 0.0000 μB per atom, in the order shown.